## i
This record from the Alexandria database describes a geometry-optimized NaLa2In2 structure. The functional is PBE-GGA.

Results
* space group: P4/mbm, No. 127
* size of the total moment: 0.00 μB per formula unit
* N(E_F): 5.0 states/eV/f.u.

Unit cell a=9.341 b=9.341 c=3.740 alpha=90.00 beta=90.00 gamma=90.00
Fractional coordinates of all 10 atoms:
1 Na 0.000 0.000 0.000
2 Na 0.500 0.500 0.000
3 La 0.176 0.324 0.500
4 La 0.324 0.824 0.500
5 La 0.676 0.176 0.500
6 La 0.824 0.676 0.500
7 In 0.119 0.619 0.000
8 In 0.381 0.119 0.000
9 In 0.619 0.881 0.000
10 In 0.881 0.381 0.000

***

## ii
This record from the Alexandria database describes a geometry-optimized NaLa2In2 structure. The functional is PBE-GGA.

Results
* space group: I4/mmm, No. 139
* size of the total moment: 0.00 μB per formula unit
* N(E_F): 8.0 states/eV/f.u.

Unit cell a=8.102 b=8.102 c=8.102 alpha=144.72 beta=144.72 gamma=50.75
Fractional coordinates of all 5 atoms:
1 Na 0.000 0.000 0.000
2 La 0.250 0.750 0.500
3 La 0.750 0.250 0.500
4 In 0.405 0.405 0.000
5 In 0.595 0.595 0.000

***

Preferred: i; penalty for the next structure: 0.285 eV/atom.

***

## i
This record from the Alexandria database describes a geometry-optimized NaLaIn4 structure. The functional is PBE-GGA.

Results
* space group: F-43m, No. 216
* size of the total moment: 0.00 μB per formula unit
* N(E_F): 3.6 states/eV/f.u.

Unit cell a=6.174 b=6.174 c=6.174 alpha=60.00 beta=60.00 gamma=60.00
Fractional coordinates of all 6 atoms:
1 Na 0.000 0.000 0.000
2 La 0.750 0.750 0.750
3 In 0.375 0.375 0.375
4 In 0.375 0.375 0.874
5 In 0.375 0.874 0.375
6 In 0.874 0.375 0.375

***

## ii
This record from the Alexandria database describes a geometry-optimized NaLaIn4 structure. The functional is PBE-GGA.

Results
* space group: Immm, No. 71
* size of the total moment: 0.00 μB per formula unit
* N(E_F): 1.1 states/eV/f.u.

Unit cell a=6.418 b=6.418 c=6.418 alpha=134.29 beta=104.28 gamma=93.15
Fractional coordinates of all 6 atoms:
1 Na 0.000 0.000 0.000
2 La 0.500 0.000 0.500
3 In 0.123 0.325 0.798
4 In 0.474 0.675 0.798
5 In 0.526 0.325 0.202
6 In 0.877 0.675 0.202

***

Preferred: ii; penalty for the next structure: 0.080 eV/atom.

***

## i
This record from the Alexandria database describes a geometry-optimized Na2LaIn2 structure. The functional is PBE-GGA.

Results
* space group: P4/mbm, No. 127
* size of the total moment: 0.28 μB per formula unit
* N(E_F): 2.8 states/eV/f.u.

Unit cell a=9.306 b=9.306 c=3.237 alpha=90.00 beta=90.00 gamma=90.00
Fractional coordinates of all 10 atoms:
1 Na 0.115 0.385 0.000
2 Na 0.385 0.885 0.000
3 Na 0.615 0.115 0.000
4 Na 0.885 0.615 0.000
5 La 0.000 0.000 0.000
6 La 0.500 0.500 0.000
7 In 0.185 0.685 0.500
8 In 0.315 0.185 0.500
9 In 0.685 0.815 0.500
10 In 0.815 0.315 0.500

***

## ii
This record from the Alexandria database describes a geometry-optimized Na2LaIn2 structure. The functional is PBE-GGA.

Results
* space group: I4/mmm, No. 139
* size of the total moment: 0.00 μB per formula unit
* N(E_F): 6.4 states/eV/f.u.

Unit cell a=8.110 b=8.110 c=8.110 alpha=147.57 beta=147.57 gamma=46.52
Fractional coordinates of all 5 atoms:
1 Na 0.250 0.750 0.500
2 Na 0.750 0.250 0.500
3 La 0.000 0.000 0.000
4 In 0.403 0.403 0.000
5 In 0.597 0.597 0.000

***

Preferred: ii; penalty for the next structure: 0.020 eV/atom.